# 1
Entry from Alexandria via LeMat-Bulk: LiTbThIr after structural relaxation (PBE).

Density of states at the Fermi level   14.362 states/eV per cell
ΔE_f   -0.42 eV/atom
Calculated density   10.90 Mg/m³
Raw total energy   -6.128 eV per atom

```
data_LiTbThIr
_cell_length_a 7.112
_cell_length_b 7.112
_cell_length_c 7.112
_cell_angle_alpha 90.00
_cell_angle_beta 90.00
_cell_angle_gamma 90.00
_space_group_name_H-M_alt 'F -4 3 m'
_space_group_IT_number 216
_space_group_name_Hall 'F -4 2 3'
loop_
_atom_site_label
_atom_site_fract_x
_atom_site_fract_y
_atom_site_fract_z
_atom_site_occupancy
Li1 0.000 0.000 0.000 1
Tb1 0.250 0.250 0.750 1
Th1 0.250 0.250 0.250 1
Ir1 0.000 0.000 0.500 1
```

# 2
Entry from Alexandria via LeMat-Bulk: LiTbTiIr after structural relaxation (PBE).

Density of states at the Fermi level   12.366 states/eV per cell
ΔE_f   -0.37 eV/atom
Calculated density   9.29 Mg/m³
Raw total energy   -6.195 eV per atom

```
data_LiTbTiIr
_cell_length_a 6.620
_cell_length_b 6.620
_cell_length_c 6.620
_cell_angle_alpha 90.00
_cell_angle_beta 90.00
_cell_angle_gamma 90.00
_space_group_name_H-M_alt 'F -4 3 m'
_space_group_IT_number 216
_space_group_name_Hall 'F -4 2 3'
loop_
_atom_site_label
_atom_site_fract_x
_atom_site_fract_y
_atom_site_fract_z
_atom_site_occupancy
Li1 0.000 0.000 0.000 1
Tb1 0.250 0.250 0.250 1
Ti1 0.250 0.250 0.750 1
Ir1 0.000 0.000 0.500 1
```

# 3
Entry from Alexandria via LeMat-Bulk: LiTbYIr after structural relaxation (PBE).

Density of states at the Fermi level   11.854 states/eV per cell
ΔE_f   -0.55 eV/atom
Calculated density   8.74 Mg/m³
Raw total energy   -6.021 eV per atom

```
data_LiTbYIr
_cell_length_a 6.977
_cell_length_b 6.977
_cell_length_c 6.977
_cell_angle_alpha 90.00
_cell_angle_beta 90.00
_cell_angle_gamma 90.00
_space_group_name_H-M_alt 'F -4 3 m'
_space_group_IT_number 216
_space_group_name_Hall 'F -4 2 3'
loop_
_atom_site_label
_atom_site_fract_x
_atom_site_fract_y
_atom_site_fract_z
_atom_site_occupancy
Li1 0.000 0.000 0.000 1
Tb1 0.250 0.250 0.250 1
Y1 0.250 0.250 0.750 1
Ir1 0.000 0.000 0.500 1
```